# Nd6YTm2Sc PBE optimized geometry
data_Nd6YTm2Sc
_chemical_formula_sum 'Nd24 Y4 Tm8 Sc4'
_cell_length_a 9.240
_cell_length_b 15.325
_cell_length_c 9.407
_cell_angle_alpha 90.00
_cell_angle_beta 96.27
_cell_angle_gamma 90.00
_symmetry_space_group_name_H-M 'C 1 2/c 1'
_symmetry_Int_Tables_number 15
loop_
_symmetry_equiv_pos_as_xyz
'x,y,z'
'-x,-y,-z'
'-x,y,-z+1/2'
'x,-y,z+1/2'
'x+1/2,y+1/2,z'
'-x+1/2,-y+1/2,-z'
'-x+1/2,y+1/2,-z+1/2'
'x+1/2,-y+1/2,z+1/2'
loop_
_atom_site_label
_atom_site_type_symbol
_atom_site_fract_x
_atom_site_fract_y
_atom_site_fract_z
_atom_site_occupancy
Nd1 Nd 0.054 0.177 0.449 1
Nd2 Nd 0.100 0.389 0.613 1
Nd3 Nd 0.225 0.217 0.804 1
Y1 Y 0.000 0.026 0.750 1
Tm1 Tm 0.245 0.450 0.952 1
Sc1 Sc 0.000 0.422 0.250 1
# Formation enthalpy at 0 K (eV per atom): 0.13